i.
Ba5Rh | PBEsol | relaxed

Values from the calculation:
DOS(E_F) in states/eV per cell: 7.466
Space group: C2/m
M_tot in μB/cell: 0.00

a b c (Å): 4.0449 7.4535 10.2783
angles (deg): 69.53 78.65 74.26
Fractional positions:
Rh 0.0000 0.0000 0.0000
Ba 0.3886 0.3300 0.8929
Ba 0.0000 0.5000 0.5000
Ba 0.6114 0.6700 0.1071
Ba 0.6693 0.9369 0.7244
Ba 0.3307 0.0631 0.2756



ii.
Ba5Rh | PBEsol | relaxed

Values from the calculation:
DOS(E_F) in states/eV per cell: 8.164
Space group: Amm2
M_tot in μB/cell: 0.00

a b c (Å): 4.3580 6.4247 10.0970
angles (deg): 90.00 102.46 90.00
Fractional positions:
Ba 0.9960 0.0000 0.9920
Ba 0.3258 0.0000 0.6516
Ba 0.6445 0.0000 0.2890
Ba 0.5173 0.5000 0.0346
Ba 0.7304 0.5000 0.4608
Rh 0.1194 0.5000 0.2388



Here are the energies relative to the best structure, in meV/atom: i 0; ii 110.



i.
BaRuRh3 | PBEsol | relaxed

Values from the calculation:
DOS(E_F) in states/eV per cell: 6.681
Space group: Pm-3m
M_tot in μB/cell: 3.69

a b c (Å): 4.8667 4.8667 4.8667
angles (deg): 90.00 90.00 90.00
Fractional positions:
Ru 0.5000 0.5000 0.5000
Rh 0.0000 0.5000 0.0000
Rh 0.0000 0.0000 0.5000
Rh 0.5000 0.0000 0.0000
Ba 0.0000 0.0000 0.0000



ii.
BaRuRh3 | PBEsol | relaxed

Values from the calculation:
DOS(E_F) in states/eV per cell: 4.367
Space group: Pm-3m
M_tot in μB/cell: 0.00

a b c (Å): 4.7257 4.7257 4.7257
angles (deg): 90.00 90.00 90.00
Fractional positions:
Ru 0.0000 0.0000 0.0000
Rh 0.0000 0.5000 0.0000
Rh 0.0000 0.0000 0.5000
Rh 0.5000 0.0000 0.0000
Ba 0.5000 0.5000 0.5000



Here are the energies relative to the best structure, in meV/atom: i 1893; ii 0.



i.
Ba2RuRh | PBEsol | relaxed

Values from the calculation:
DOS(E_F) in states/eV per cell: 4.710
Space group: Fm-3m
M_tot in μB/cell: 0.00

a b c (Å): 5.1712 5.1712 5.1712
angles (deg): 60.00 60.00 60.00
Fractional positions:
Ba 0.2500 0.2500 0.2500
Ba 0.7500 0.7500 0.7500
Rh 0.5000 0.5000 0.5000
Ru 0.0000 0.0000 0.0000



ii.
Ba2RuRh | PBEsol | relaxed

Values from the calculation:
DOS(E_F) in states/eV per cell: 4.910
Space group: Cm
M_tot in μB/cell: 0.89

a b c (Å): 4.2728 4.2728 9.0829
angles (deg): 73.78 73.78 61.18
Fractional positions:
Ba 0.0221 0.0221 0.8778
Ba 0.2244 0.2244 0.3722
Rh 0.4458 0.4458 0.6256
Ru 0.8078 0.8078 0.6243



iii.
Ba2RuRh | PBEsol | relaxed

Values from the calculation:
DOS(E_F) in states/eV per cell: 5.011
Space group: P4/mmm
M_tot in μB/cell: 0.01

a b c (Å): 3.6887 5.1411 5.1411
angles (deg): 90.00 90.00 90.00
Fractional positions:
Ba 0.0000 0.0000 0.5000
Ba 0.0000 0.5000 0.0000
Rh 0.5000 0.5000 0.5000
Ru 0.5000 0.0000 0.0000



Here are the energies relative to the best structure, in meV/atom: i 535; ii 0; iii 524.



i.
BaSr2Rh | PBEsol | relaxed

Values from the calculation:
DOS(E_F) in states/eV per cell: 2.142
Space group: Cmmm
M_tot in μB/cell: 0.00

a b c (Å): 4.2669 6.1720 7.1925
angles (deg): 115.42 90.00 90.00
Fractional positions:
Sr 0.0000 0.3500 0.2000
Sr 0.0000 0.6500 0.8000
Rh 0.5000 0.5000 0.5000
Ba 0.5000 0.0000 0.5000



ii.
BaSr2Rh | PBEsol | relaxed

Values from the calculation:
DOS(E_F) in states/eV per cell: 2.702
Space group: Cm
M_tot in μB/cell: 0.00

a b c (Å): 4.0546 6.1734 7.4928
angles (deg): 65.07 74.30 70.83
Fractional positions:
Sr 0.0641 0.9884 0.8835
Sr 0.2452 0.3290 0.1806
Rh 0.7787 0.5648 0.8778
Ba 0.4120 0.6178 0.5582



Here are the energies relative to the best structure, in meV/atom: i 0; ii 8.



i.
BaSr3Rh | PBEsol | relaxed

Values from the calculation:
DOS(E_F) in states/eV per cell: 4.487
Space group: Pm-3m
M_tot in μB/cell: 0.00

a b c (Å): 5.9067 5.9067 5.9067
angles (deg): 90.00 90.00 90.00
Fractional positions:
Sr 0.0000 0.5000 0.0000
Sr 0.0000 0.0000 0.5000
Sr 0.5000 0.0000 0.0000
Rh 0.0000 0.0000 0.0000
Ba 0.5000 0.5000 0.5000



ii.
BaSr3Rh | PBEsol | relaxed

Values from the calculation:
DOS(E_F) in states/eV per cell: 7.863
Space group: Cmc2_1
M_tot in μB/cell: 0.00

a b c (Å): 6.9888 8.4420 8.4920
angles (deg): 60.19 90.00 90.00
Fractional positions:
Sr 0.1713 0.9121 0.1757
Sr 0.6713 0.0879 0.8243
Sr 0.6933 0.5800 0.3447
Sr 0.1933 0.9247 0.6553
Sr 0.1933 0.4200 0.6553
Sr 0.6933 0.0753 0.3447
Rh 0.9426 0.7478 0.5045
Rh 0.4426 0.2522 0.4955
Ba 0.7142 0.5867 0.8267
Ba 0.2142 0.4133 0.1733



Here are the energies relative to the best structure, in meV/atom: i 47; ii 0.



i.
Ba2TcRh | PBEsol | relaxed

Values from the calculation:
DOS(E_F) in states/eV per cell: 4.217
Space group: R-3m
M_tot in μB/cell: 1.49

a b c (Å): 3.5109 3.5109 9.6633
angles (deg): 79.53 79.53 60.00
Fractional positions:
Ba 0.2464 0.2464 0.2609
Ba 0.7536 0.7536 0.7391
Rh 0.5000 0.5000 0.5000
Tc 0.0000 0.0000 0.0000



ii.
Ba2TcRh | PBEsol | relaxed

Values from the calculation:
DOS(E_F) in states/eV per cell: 5.266
Space group: P4/mmm
M_tot in μB/cell: 2.30

a b c (Å): 3.4542 3.4546 8.6028
angles (deg): 90.00 89.99 90.00
Fractional positions:
Ba 0.0000 0.0000 0.7659
Ba 0.0000 0.0000 0.2341
Rh 0.5000 0.5000 0.0000
Tc 0.5000 0.5000 0.5000



Here are the energies relative to the best structure, in meV/atom: i 148; ii 0.



i.
BaTe2Rh | PBEsol | relaxed

Values from the calculation:
DOS(E_F) in states/eV per cell: 3.035
Space group: Immm
M_tot in μB/cell: 0.00

a b c (Å): 4.0193 5.8946 5.8946
angles (deg): 64.93 70.07 70.07
Fractional positions:
Te 0.3186 0.6814 0.6814
Te 0.6814 0.3186 0.3186
Rh 0.0000 0.5000 0.5000
Ba 0.5000 0.0000 0.0000



ii.
BaTe2Rh | PBEsol | relaxed

Values from the calculation:
DOS(E_F) in states/eV per cell: 2.391
Space group: Cm
M_tot in μB/cell: 0.00

a b c (Å): 4.0360 5.8419 5.9711
angles (deg): 114.09 109.75 90.00
Fractional positions:
Te 0.9074 0.8342 0.8147
Te 0.7346 0.1683 0.4693
Rh 0.3108 0.9754 0.6217
Ba 0.5472 0.5221 0.0944



iii.
BaTe2Rh | PBEsol | relaxed

Values from the calculation:
DOS(E_F) in states/eV per cell: 3.649
Space group: R-3m
M_tot in μB/cell: 0.01

a b c (Å): 4.0342 4.0342 9.6903
angles (deg): 77.99 77.99 60.00
Fractional positions:
Te 0.8790 0.8790 0.3631
Te 0.1210 0.1210 0.6369
Rh 0.5000 0.5000 0.5000
Ba 0.0000 0.0000 0.0000



Here are the energies relative to the best structure, in meV/atom: i 0; ii 16; iii 367.



i.
BaY2Rh | PBEsol | relaxed

Values from the calculation:
DOS(E_F) in states/eV per cell: 3.726
Space group: Immm
M_tot in μB/cell: 0.00

a b c (Å): 3.6804 5.9962 6.5068
angles (deg): 117.44 106.43 90.00
Fractional positions:
Ba 0.0000 0.5000 0.0000
Rh 0.5000 0.0000 0.0000
Y 0.8180 0.8180 0.6359
Y 0.1820 0.1820 0.3641



ii.
BaY2Rh | PBEsol | relaxed

Values from the calculation:
DOS(E_F) in states/eV per cell: 4.862
Space group: C2/m
M_tot in μB/cell: 0.00

a b c (Å): 3.4447 6.0866 5.9709
angles (deg): 117.48 101.72 99.64
Fractional positions:
Ba 0.5000 0.0000 0.0000
Rh 0.0000 0.5000 0.0000
Y 0.0000 0.0000 0.5000
Y 0.5000 0.5000 0.5000



Here are the energies relative to the best structure, in meV/atom: i 0; ii 480.



i.
BaRuSe2 | PBEsol | relaxed

Values from the calculation:
DOS(E_F) in states/eV per cell: 3.370
Space group: Immm
M_tot in μB/cell: 0.00

a b c (Å): 3.8679 5.4638 5.4638
angles (deg): 68.69 69.27 69.27
Fractional positions:
Ba 0.5000 0.0000 0.0000
Ru 0.0000 0.5000 0.5000
Se 0.3168 0.6832 0.6832
Se 0.6832 0.3168 0.3168



ii.
BaRuSe2 | PBEsol | relaxed

Values from the calculation:
Space group: R3m
M_tot in μB/cell: 0.00

a b c (Å): 4.0272 4.0272 6.8842
angles (deg): 72.99 72.99 60.00
Fractional positions:
Ba 0.5060 0.5060 0.4821
Ru 0.3286 0.3286 0.0143
Se 0.9450 0.9450 0.1651
Se 0.7205 0.7205 0.8385



Here are the energies relative to the best structure, in meV/atom: i 141; ii 0.



i.
BaSr2Ru | PBEsol | relaxed

Values from the calculation:
DOS(E_F) in states/eV per cell: 6.331
Space group: R-3m
M_tot in μB/cell: 0.09

a b c (Å): 3.9150 3.9150 11.5153
angles (deg): 80.21 80.21 60.00
Fractional positions:
Ba 0.5000 0.5000 0.5000
Ru 0.0000 0.0000 0.0000
Sr 0.2769 0.2769 0.1692
Sr 0.7231 0.7231 0.8308



ii.
BaSr2Ru | PBEsol | relaxed

Values from the calculation:
DOS(E_F) in states/eV per cell: 6.570
Space group: P4/mmm
M_tot in μB/cell: 0.00

a b c (Å): 3.6807 3.6807 10.4916
angles (deg): 90.00 90.00 90.00
Fractional positions:
Ba 0.5000 0.5000 0.0000
Ru 0.5000 0.5000 0.5000
Sr 0.0000 0.0000 0.6617
Sr 0.0000 0.0000 0.3383



Here are the energies relative to the best structure, in meV/atom: i 125; ii 0.



i.
BaTaRu2 | PBEsol | relaxed

Values from the calculation:
DOS(E_F) in states/eV per cell: 3.526
Space group: C2/m
M_tot in μB/cell: 0.00

a b c (Å): 3.1261 4.2519 6.9712
angles (deg): 96.52 90.00 111.57
Fractional positions:
Ba 0.5000 0.0000 0.0000
Ru 0.7279 0.4558 0.6649
Ru 0.2721 0.5442 0.3351
Ta 0.0000 0.0000 0.5000



ii.
BaTaRu2 | PBEsol | relaxed

Values from the calculation:
DOS(E_F) in states/eV per cell: 3.975
Space group: P2/m
M_tot in μB/cell: 0.00

a b c (Å): 3.1758 3.1803 7.7078
angles (deg): 90.00 91.83 90.00
Fractional positions:
Ba 0.5000 0.5000 0.5000
Ru 0.9873 0.0000 0.8125
Ru 0.0127 0.0000 0.1875
Ta 0.5000 0.5000 0.0000



Here are the energies relative to the best structure, in meV/atom: i 227; ii 0.



i.
BaTc2Ru | PBEsol | relaxed

Values from the calculation:
DOS(E_F) in states/eV per cell: 5.831
Space group: C2/m
M_tot in μB/cell: 0.00

a b c (Å): 2.8725 5.2761 5.5022
angles (deg): 114.57 98.29 104.10
Fractional positions:
Ba 0.0000 0.5000 0.0000
Ru 0.5000 0.0000 0.0000
Tc 0.5000 0.5000 0.5000
Tc 0.0000 0.0000 0.5000



ii.
BaTc2Ru | PBEsol | relaxed

Values from the calculation:
DOS(E_F) in states/eV per cell: 5.078
Space group: Cm
M_tot in μB/cell: 0.00

a b c (Å): 3.0844 4.6837 6.4042
angles (deg): 103.40 90.00 109.22
Fractional positions:
Ba 0.4972 0.9943 0.4940
Ru 0.7181 0.4362 0.1450
Tc 0.9980 0.9960 0.9943
Tc 0.2868 0.5735 0.8667



iii.
BaTc2Ru | PBEsol | relaxed

Values from the calculation:
DOS(E_F) in states/eV per cell: 6.216
Space group: Pmmm
M_tot in μB/cell: 0.00

a b c (Å): 3.0042 4.8427 4.8614
angles (deg): 90.00 90.00 90.00
Fractional positions:
Ba 0.5000 0.0000 0.5000
Ru 0.0000 0.5000 0.5000
Tc 0.0000 0.0000 0.0000
Tc 0.5000 0.5000 0.0000



Here are the energies relative to the best structure, in meV/atom: i 602; ii 0; iii 623.



i.
BaTc2Ru | PBEsol | relaxed

Values from the calculation:
DOS(E_F) in states/eV per cell: 3.808
Space group: Pm
M_tot in μB/cell: 0.00

a b c (Å): 2.9273 3.4538 7.7011
angles (deg): 90.00 91.27 90.00
Fractional positions:
Ba 0.9817 0.0000 0.5043
Ru 0.4881 0.5000 0.8287
Tc 0.0503 0.0000 0.0017
Tc 0.4799 0.5000 0.1653



ii.
BaTc2Ru | PBEsol | relaxed

Values from the calculation:
DOS(E_F) in states/eV per cell: 4.837
Space group: Immm
M_tot in μB/cell: 0.00

a b c (Å): 2.8582 5.0848 5.8716
angles (deg): 115.66 104.09 90.00
Fractional positions:
Ba 0.5000 0.0000 0.0000
Ru 0.0000 0.5000 0.0000
Tc 0.7134 0.7134 0.4267
Tc 0.2866 0.2866 0.5733



Here are the energies relative to the best structure, in meV/atom: i 0; ii 419.